## ZnBiP2Cl (PBE-GGA)

Data for crystalline ZnBiP2Cl at its relaxed geometry.

```
ZnBiP2Cl
1.0
4.748 0.000 0.000
0.000 4.748 0.000
0.000 0.000 4.792
Zn Bi P Cl
1 1 2 1
Direct
0.000 0.000 0.000
0.500 0.500 0.500
0.000 0.500 0.000
0.500 0.000 0.000
0.000 0.000 0.500
```

Properties
Total moment: 0.000 μB/f.u.
Energy relative to the elements, uncorrected: 0.39 eV per atom
Energy above the most stable polymorph in this dataset: 0.000 eV/atom